No. 1
## RbAgBr3 (PBE-GGA)

Data for a relaxed structure of RbAgBr3.

Calculated values
**M_tot**: 0.00 μB/f.u.
**Calculated volume**: 37.45 Å³ per atom
**Formation energy without anion corrections**: -0.60 eV per atom

Lattice parameters (Å, degrees): 9.9712 9.9712 7.0640 90.00 90.00 147.78
Closest atoms and distances in Å follow each position.
Positions (direct):
Rb (0.1538, 0.8462, 0.7500)  8 Br 3.44-3.81
Rb (0.8462, 0.1538, 0.2500)  8 Br 3.44-3.81
Ag (0.4539, 0.5461, 0.7500)  2 Br 2.86
Ag (0.5461, 0.4539, 0.2500)  2 Br 2.86
Br (0.0000, 0.0000, 0.0000)  4 Ag 3.40, 2 Rb 3.44, 2 Br 3.53
Br (0.0000, 0.0000, 0.5000)  4 Ag 3.40, 2 Rb 3.44, 2 Br 3.53
Br (0.0709, 0.4240, 0.7500)  2 Br 2.74-2.80, 1 Ag 2.86
Br (0.4240, 0.0709, 0.2500)  2 Br 2.74-2.80, 1 Ag 2.86
Br (0.5760, 0.9291, 0.7500)  2 Br 2.74-2.80, 1 Ag 2.86
Br (0.9291, 0.5760, 0.2500)  2 Br 2.74-2.80, 1 Ag 2.86


No. 2
## Dy6Si2SbTe3 (PBE-GGA)

Data for a relaxed structure of Dy6Si2SbTe3.

Calculated values
**M_tot**: 0.00 μB/f.u.
**Calculated volume**: 28.15 Å³ per atom
**Formation energy without anion corrections**: -1.17 eV per atom

Lattice parameters (Å, degrees): 9.6382 9.6382 8.6740 103.57 103.57 25.59
Closest atoms and distances in Å follow each position.
Positions (direct):
Dy (0.0118, 0.0118, 0.2513)  1 Si 2.85, 2 Sb 3.02, 3 Te 3.08-3.19
Dy (0.3257, 0.3257, 0.4332)  3 Si 2.88-2.91, 3 Te 3.19-3.20
Dy (0.3321, 0.3321, 0.8887)  2 Si 2.89, 1 Sb 3.07, 3 Te 3.10-3.20
Dy (0.6679, 0.6679, 0.1113)  2 Si 2.89, 1 Sb 3.07, 3 Te 3.10-3.20
Dy (0.6743, 0.6743, 0.5668)  3 Si 2.88-2.91, 3 Te 3.19-3.20
Dy (0.9882, 0.9882, 0.7487)  1 Si 2.85, 2 Sb 3.02, 3 Te 3.08-3.19
Si (0.1680, 0.1680, 0.3359)  6 Dy 2.85-2.91
Si (0.8320, 0.8320, 0.6641)  6 Dy 2.85-2.91
Sb (0.5000, 0.5000, 0.0000)  6 Dy 3.02-3.07
Te (0.1630, 0.1630, 0.8341)  6 Dy 3.10-3.20
Te (0.5000, 0.5000, 0.5000)  6 Dy 3.08-3.19
Te (0.8370, 0.8370, 0.1659)  6 Dy 3.10-3.20


No. 3
## K2MgHg12 (PBE-GGA)

Data for a relaxed structure of K2MgHg12.

Calculated values
**M_tot**: 0.00 μB/f.u.
**Calculated volume**: 30.39 Å³ per atom
**ΔH_f (0 K)**: -0.132 eV/atom

Lattice parameters (Å, degrees): 7.0702 7.0702 18.2407 90.00 90.00 90.00
Closest atoms and distances in Å follow each position.
Positions (direct):
K (0.2500, 0.7500, 0.2465)  14 Hg 3.71-4.00
K (0.2500, 0.7500, 0.7535)  14 Hg 3.71-4.00
K (0.7500, 0.2500, 0.2465)  14 Hg 3.71-4.00
K (0.7500, 0.2500, 0.7535)  14 Hg 3.71-4.00
Mg (0.2500, 0.7500, 0.0000)  8 Hg 2.95
Mg (0.7500, 0.2500, 0.0000)  8 Hg 2.95
Hg (0.0000, 0.0000, 0.0857)  2 Mg 2.95, 3 Hg 3.08-3.13
Hg (0.0000, 0.0000, 0.9143)  2 Mg 2.95, 3 Hg 3.08-3.13
Hg (0.0000, 0.5000, 0.0857)  2 Mg 2.95, 3 Hg 3.08-3.13
Hg (0.0000, 0.5000, 0.9143)  2 Mg 2.95, 3 Hg 3.08-3.13
Hg (0.0923, 0.5923, 0.4325)  6 Hg 3.07-3.32
Hg (0.0923, 0.9077, 0.5675)  6 Hg 3.07-3.32
Hg (0.2500, 0.2500, 0.1846)  5 Hg 2.99-3.08
Hg (0.2500, 0.2500, 0.3486)  5 Hg 2.99-3.07
Hg (0.2500, 0.2500, 0.6514)  5 Hg 2.99-3.07
Hg (0.2500, 0.2500, 0.8154)  5 Hg 2.99-3.08
Hg (0.4077, 0.5923, 0.5675)  6 Hg 3.07-3.32
Hg (0.4077, 0.9077, 0.4325)  6 Hg 3.07-3.32
Hg (0.5000, 0.0000, 0.0857)  2 Mg 2.95, 3 Hg 3.08-3.13
Hg (0.5000, 0.0000, 0.9143)  2 Mg 2.95, 3 Hg 3.08-3.13
Hg (0.5000, 0.5000, 0.0857)  2 Mg 2.95, 3 Hg 3.08-3.13
Hg (0.5000, 0.5000, 0.9143)  2 Mg 2.95, 3 Hg 3.08-3.13
Hg (0.5923, 0.0923, 0.5675)  6 Hg 3.07-3.32
Hg (0.5923, 0.4077, 0.4325)  6 Hg 3.07-3.32
Hg (0.7500, 0.7500, 0.1846)  5 Hg 2.99-3.08
Hg (0.7500, 0.7500, 0.3486)  5 Hg 2.99-3.07
Hg (0.7500, 0.7500, 0.6514)  5 Hg 2.99-3.07
Hg (0.7500, 0.7500, 0.8154)  5 Hg 2.99-3.08
Hg (0.9077, 0.0923, 0.4325)  6 Hg 3.07-3.32
Hg (0.9077, 0.4077, 0.5675)  6 Hg 3.07-3.32


No. 4
## PrSm2In3Te6 (PBE-GGA)

Data for a relaxed structure of PrSm2In3Te6.

Calculated values
**M_tot**: 0.00 μB/f.u.
**Calculated volume**: 35.63 Å³ per atom
**Formation energy without anion corrections**: -0.99 eV per atom

Lattice parameters (Å, degrees): 7.8015 7.8015 8.5201 98.79 98.79 120.00
Closest atoms and distances in Å follow each position.
Positions (direct):
Pr (0.0000, 0.0000, 0.0000)  6 Te 3.21
Sm (0.3332, 0.6668, 0.0000)  6 Te 3.16-3.17
Sm (0.6668, 0.3332, 0.0000)  6 Te 3.16-3.17
In (0.1656, 0.8344, 0.5000)  6 Te 3.40-3.44
In (0.5000, 0.5000, 0.5000)  6 Te 3.40-3.43
In (0.8344, 0.1656, 0.5000)  6 Te 3.40-3.44
Te (0.0755, 0.4133, 0.2261)  2 Sm 3.17, 1 Pr 3.21, 3 In 3.40-3.44
Te (0.2629, 0.2629, 0.7751)  2 Sm 3.16, 1 Pr 3.21, 3 In 3.40-3.43
Te (0.4133, 0.0755, 0.2261)  2 Sm 3.17, 1 Pr 3.21, 3 In 3.40-3.44
Te (0.5867, 0.9245, 0.7739)  2 Sm 3.17, 1 Pr 3.21, 3 In 3.40-3.44
Te (0.7371, 0.7371, 0.2249)  2 Sm 3.16, 1 Pr 3.21, 3 In 3.40-3.43
Te (0.9245, 0.5867, 0.7739)  2 Sm 3.17, 1 Pr 3.21, 3 In 3.40-3.44


No. 5
## ZrCd2Si (PBE-GGA)

Data for a relaxed structure of ZrCd2Si.

Calculated values
**M_tot**: 0.00 μB/f.u.
**Calculated volume**: 20.81 Å³ per atom
**Formation energy without anion corrections**: -0.14 eV per atom

Lattice parameters (Å, degrees): 3.5224 3.9097 6.2922 90.00 106.10 90.00
Closest atoms and distances in Å follow each position.
Positions (direct):
Zr (0.0000, 0.0000, 0.0000)  4 Si 2.72
Cd (0.2772, 0.0000, 0.5506)  2 Si 2.81, 4 Cd 2.95-2.96
Cd (0.6652, 0.5000, 0.3275)  1 Si 2.67, 4 Cd 2.95-2.96
Si (0.4438, 0.5000, 0.8855)  3 Cd 2.67-2.81, 4 Zr 2.72


No. 6
## BaTcRh (PBE-GGA)

Data for a relaxed structure of BaTcRh.

Calculated values
**M_tot**: 0.00 μB/f.u.
**Energy above the lowest structure with this stoichiometry**: 0.32 eV/f.u.
**Calculated volume**: 27.39 Å³ per atom
**ΔH_f (0 K)**: 0.166 eV/atom

Lattice parameters (Å, degrees): 4.4853 4.2658 8.6027 90.00 93.11 90.00
Closest atoms and distances in Å follow each position.
Positions (direct):
Ba (0.0000, 0.0000, 0.0000)  5 Rh 3.29-3.54, 2 Tc 3.44
Ba (0.4756, 0.5000, 0.6383)  5 Tc 3.31-3.64, 2 Rh 3.43
Tc (0.0409, 0.5000, 0.3142)  2 Rh 2.44-2.71, 2 Tc 2.49
Tc (0.9122, 0.0000, 0.4446)  2 Rh 2.36-2.57, 2 Tc 2.49
Rh (0.4249, 0.0000, 0.3250)  2 Tc 2.36-2.57, 2 Rh 2.62
Rh (0.5593, 0.5000, 0.1675)  2 Tc 2.44-2.71, 2 Rh 2.62


No. 7
## LiHg2Mo (PBE-GGA)

Data for a relaxed structure of LiHg2Mo.

Calculated values
**M_tot**: 2.30 μB/f.u.
**Energy above the lowest structure with this stoichiometry**: 0.66 eV/f.u.
**Calculated volume**: 18.72 Å³ per atom
**ΔH_f (0 K)**: 0.356 eV/atom

Lattice parameters (Å, degrees): 4.7311 4.7311 4.7311 60.00 60.00 60.00
Closest atoms and distances in Å follow each position.
Positions (direct):
Li (0.0000, 0.0000, 0.0000)  8 Hg 2.90
Hg (0.2500, 0.2500, 0.2500)  4 Mo 2.90, 4 Li 2.90
Hg (0.7500, 0.7500, 0.7500)  4 Mo 2.90, 4 Li 2.90
Mo (0.5000, 0.5000, 0.5000)  8 Hg 2.90


No. 8
## Cd3InHgPb (PBE-GGA)

Data for a relaxed structure of Cd3InHgPb.

Calculated values
**M_tot**: 0.00 μB/f.u.
**Calculated volume**: 25.55 Å³ per atom
**ΔH_f (0 K)**: 0.032 eV/atom

Lattice parameters (Å, degrees): 9.8884 3.2362 10.1682 90.00 109.55 90.00
Closest atoms and distances in Å follow each position.
Positions (direct):
Cd (0.0887, 0.2500, 0.4248)  6 Cd 3.13-3.24, 1 Hg 3.22, 2 Pb 3.39, 2 In 3.45
Cd (0.1195, 0.2500, 0.8241)  3 Hg 3.02-3.18, 6 Cd 3.13-3.25, 2 Pb 3.32
Cd (0.3834, 0.7500, 0.0459)  6 Cd 3.20-3.25, 2 Hg 3.26, 1 In 3.34, 3 Pb 3.49-3.54
Cd (0.6166, 0.2500, 0.9541)  6 Cd 3.20-3.25, 2 Hg 3.26, 1 In 3.34, 3 Pb 3.49-3.54
Cd (0.8805, 0.7500, 0.1759)  3 Hg 3.02-3.18, 6 Cd 3.13-3.25, 2 Pb 3.32
Cd (0.9113, 0.7500, 0.5752)  6 Cd 3.13-3.24, 1 Hg 3.22, 2 Pb 3.39, 2 In 3.45
In (0.3734, 0.7500, 0.3711)  2 Hg 3.23, 4 In 3.24-3.37, 3 Cd 3.34-3.45, 3 Pb 3.39-3.53
In (0.6266, 0.2500, 0.6289)  2 Hg 3.23, 4 In 3.24-3.37, 3 Cd 3.34-3.45, 3 Pb 3.39-3.53
Hg (0.1360, 0.2500, 0.1265)  6 Cd 3.02-3.26, 2 In 3.23, 2 Hg 3.24
Hg (0.8640, 0.7500, 0.8735)  6 Cd 3.02-3.26, 2 In 3.23, 2 Hg 3.24
Pb (0.3364, 0.7500, 0.6903)  2 Pb 3.24, 7 Cd 3.32-3.54, 3 In 3.39-3.53
Pb (0.6636, 0.2500, 0.3097)  2 Pb 3.24, 7 Cd 3.32-3.54, 3 In 3.39-3.53